{
  "formula": "K2CdFeHg",
  "functional": "PBE",
  "state": "optimized geometry",
  "lattice_angstrom": [[-4.386, -0.138, 4.805], [1.227, -4.769, 0.983], [4.536, 2.033, 4.199]],
  "species": ["Fe", "K", "K", "Hg", "Cd"],
  "frac_coords": [[0.000, 0.500, 0.000], [0.000, 0.000, 0.500], [0.500, 0.000, 0.000], [0.000, 0.000, 0.000], [0.500, 0.500, 0.500]],
  "total_energy_ev_per_fu": -9.12,
  "delta_e_f_ev_per_fu": 2.8,
  "spacegroup": "P4/mmm",
  "crystal_system": "tetragonal"
}

{
  "formula": "PmDy12Th3",
  "functional": "PBE",
  "state": "optimized geometry",
  "lattice_angstrom": [[5.028, 0.000, 0.000], [0.000, 5.028, 0.000], [0.000, 0.000, 20.067]],
  "species": ["Pm", "Dy", "Dy", "Dy", "Dy", "Dy", "Dy", "Dy", "Dy", "Dy", "Dy", "Dy", "Dy", "Th", "Th", "Th"],
  "frac_coords": [[0.000, 0.000, 0.000], [0.500, 0.500, 0.000], [0.500, 0.500, 0.251], [0.500, 0.500, 0.500], [0.500, 0.500, 0.749], [0.500, 0.000, 0.128], [0.500, 0.000, 0.376], [0.500, 0.000, 0.624], [0.500, 0.000, 0.872], [0.000, 0.500, 0.128], [0.000, 0.500, 0.376], [0.000, 0.500, 0.624], [0.000, 0.500, 0.872], [0.000, 0.000, 0.251], [0.000, 0.000, 0.500], [0.000, 0.000, 0.749]],
  "total_energy_ev_per_fu": -81.71,
  "delta_e_f_ev_per_fu": 0.5,
  "spacegroup": "P4/mmm",
  "crystal_system": "tetragonal"
}

M_tot values, unit μB per formula unit, following the record order: 2.6 0.0.